Entry 1:
Entry from the Alexandria database: an optimized crystal structure of SrMg2Pt (PBE).

Cell lengths 3.421, 3.421, 8.193 Å; angles 90.00, 90.00, 90.00 degrees
Space group P4/mmm (No. 123)
Symmetry-distinct sites (fractional):
Sr: 0.000 0.000 0.000
Mg: 0.500 0.500 0.327
Pt: 0.000 0.000 0.500

Density of states at the Fermi level ... 1.4 states/eV/f.u.
Spin magnetization ... 0.00 μB per formula unit
Energy of formation from the pure elements ... -1.54 eV per formula unit



Entry 2:
Entry from the Alexandria database: an optimized crystal structure of SrMgPt2 (PBE).

Cell lengths 4.162, 4.162, 9.378 Å; angles 90.00, 90.00, 90.00 degrees
Space group I-4m2 (No. 119)
Symmetry-distinct sites (fractional):
Sr: 0.000 0.000 0.000
Mg: 0.000 0.500 0.750
Pt: 0.000 0.000 0.500
Pt: 0.000 0.500 0.250

Density of states at the Fermi level ... 1.5 states/eV/f.u.
Spin magnetization ... 0.00 μB per formula unit
Energy of formation from the pure elements ... -2.00 eV per formula unit



Entry 3:
Entry from the Alexandria database: an optimized crystal structure of SrMgPt (PBE).

Cell lengths 4.5454, 4.5454, 4.4045 Å; angles 90.00, 90.00, 120.00 degrees
Space group P-6m2 (No. 187)
Symmetry-distinct sites (fractional):
Sr: 0.0000 0.0000 0.0000
Mg: 0.6667 0.3333 0.5000
Pt: 0.3333 0.6667 0.5000

Density of states at the Fermi level ... 0.6 states/eV/f.u.
Spin magnetization ... 0.00 μB per formula unit
Energy of formation from the pure elements ... -1.95 eV per formula unit



Entry 4:
Entry from the Alexandria database: an optimized crystal structure of Sr2MgPt (PBE).

Cell lengths 3.816, 3.816, 8.335 Å; angles 90.00, 90.00, 90.00 degrees
Space group P4/mmm (No. 123)
Symmetry-distinct sites (fractional):
Sr: 0.000 0.000 0.208
Mg: 0.500 0.500 0.500
Pt: 0.500 0.500 0.000

Density of states at the Fermi level ... 3.1 states/eV/f.u.
Spin magnetization ... 0.00 μB per formula unit
Energy of formation from the pure elements ... -1.67 eV per formula unit



Question: What is the formula in the second record?
Answer: SrMgPt2



Copy entry 3 word for word.
Entry from the Alexandria database: an optimized crystal structure of SrMgPt (PBE).

Cell lengths 4.5454, 4.5454, 4.4045 Å; angles 90.00, 90.00, 120.00 degrees
Space group P-6m2 (No. 187)
Symmetry-distinct sites (fractional):
Sr: 0.0000 0.0000 0.0000
Mg: 0.6667 0.3333 0.5000
Pt: 0.3333 0.6667 0.5000

Density of states at the Fermi level ... 0.6 states/eV/f.u.
Spin magnetization ... 0.00 μB per formula unit
Energy of formation from the pure elements ... -1.95 eV per formula unit



Question: Look up the spin magnetization of the third one.
Answer: 0.00 μB per formula unit



Question: Among the records above, which one has the highest density of states at the Fermi level?
Answer: Sr2MgPt